Entry 1:
This record from the Alexandria database describes crystalline TaSi2Te at its relaxed geometry. The functional is GGA-PBE.

Structure (CIF):
```
data_TaSi2Te
_symmetry_space_group_name_H-M 'P 1'
_symmetry_Int_Tables_number 1
_cell_length_a 4.765
_cell_length_b 4.765
_cell_length_c 5.267
_cell_angle_alpha 88.07
_cell_angle_beta 88.07
_cell_angle_gamma 43.04
loop_
_symmetry_equiv_pos_as_xyz
'x,y,z'
loop_
_atom_site_label
_atom_site_fract_x
_atom_site_fract_y
_atom_site_fract_z
Si1 0.966 0.966 0.109
Si2 0.534 0.534 0.391
Ta1 0.250 0.250 0.250
Te1 0.750 0.750 0.750
```

Summary:
Its theoretical density is 7.4 Mg/m³. For the volume, the calculation gives 81.57 Å³/cell. As for the formation energy without anion corrections: 187 meV per atom. The final energy comes out at -25.092 eV per cell. The space group is C2/m (12).

***

Entry 2:
This record from the Alexandria database describes crystalline Li2UNiSe4 at its relaxed geometry. The functional is GGA-PBE.

Structure (CIF):
```
data_Li2UNiSe4
_symmetry_space_group_name_H-M 'P 1'
_symmetry_Int_Tables_number 1
_cell_length_a 3.920
_cell_length_b 6.413
_cell_length_c 6.875
_cell_angle_alpha 108.61
_cell_angle_beta 90.00
_cell_angle_gamma 90.00
loop_
_symmetry_equiv_pos_as_xyz
'x,y,z'
loop_
_atom_site_label
_atom_site_fract_x
_atom_site_fract_y
_atom_site_fract_z
Li1 0.500 0.000 0.500
Li2 0.000 0.500 0.500
U1 0.500 0.500 0.000
Ni1 0.000 0.000 0.000
Se1 0.500 0.221 0.229
Se2 0.500 0.779 0.771
Se3 0.000 0.240 0.744
Se4 0.000 0.760 0.256
```

Summary:
Its theoretical density is 6.4 Mg/m³. For the volume, the calculation gives 163.78 Å³/cell. As for the formation energy without anion corrections: -896 meV per atom. The final energy comes out at -42.000 eV per cell. The space group is P2/m (10).